First-principles (PBE-GGA) data for a relaxed Ho3P3Ir2 crystal, as listed in Alexandria.

Calculated values
Fermi-level density of states: 8.7 states/eV/cell
E_tot: -7.1206 eV per atom
total magnetic moment: 0.00 μB/f.u.

a = 4.1017 Å, b = 5.5468 Å, c = 14.6526 Å
α = 90.00°, β = 90.00°, γ = 111.70°
Last column: nearest neighbours and their distance in Å.
Element x y z (fractional)
Ho  0.1462  0.2924  0.9102  7 P 2.91-3.21, 4 Ir 2.99-3.02
Ho  0.8538  0.7076  0.4102  7 P 2.91-3.21, 4 Ir 2.99-3.02
Ir  0.1414  0.2829  0.1154  3 P 2.33-2.44
P  0.5757  0.1513  0.4443  1 P 2.26, 2 Ir 2.33
P  0.2814  0.5628  0.2500  2 Ir 2.44
Ho  0.1462  0.2924  0.5898  7 P 2.91-3.21, 4 Ir 2.99-3.02
Ir  0.1414  0.2829  0.3846  3 P 2.33-2.44
Ho  0.4329  0.8659  0.7500  5 P 2.85-3.01, 4 Ir 2.95
P  0.5757  0.1513  0.0557  1 P 2.26, 2 Ir 2.33
Ir  0.8586  0.7171  0.8846  3 P 2.33-2.44
Ir  0.8586  0.7171  0.6154  3 P 2.33-2.44
Ho  0.8538  0.7076  0.0898  7 P 2.91-3.21, 4 Ir 2.99-3.02
P  0.4243  0.8487  0.9443  1 P 2.26, 2 Ir 2.33
P  0.7186  0.4372  0.7500  2 Ir 2.44
Ho  0.5671  0.1341  0.2500  5 P 2.85-3.01, 4 Ir 2.95
P  0.4243  0.8487  0.5557  1 P 2.26, 2 Ir 2.33